[1]
LaSmTh2 | PBE | relaxed

Cell lengths 3.5283, 3.5283, 12.7094 Å; angles 82.02, 82.02, 60.00 degrees
Fractional coordinates of all 4 atoms:
1 Th 0.0879 0.0879 0.7362
2 Sm 0.5000 0.5000 0.5000
3 La 0.0000 0.0000 0.0000
4 Th 0.9121 0.9121 0.2638

## Properties
As for the energy above the most stable polymorph in this dataset: 165 meV per atom. As for the space group: No. 166. The calculation puts the energy of formation from the pure elements at 0.1915 eV per atom.



[2]
LaSmTh2 | PBE | relaxed

Cell lengths 5.0768, 5.1136, 11.5318 Å; angles 90.00, 116.03, 90.00 degrees
Fractional coordinates of all 8 atoms:
1 Th 0.3845 0.7500 0.8844
2 Sm 0.8608 0.7500 0.3612
3 Sm 0.1392 0.2500 0.6388
4 Th 0.1185 0.7500 0.1185
5 Th 0.6155 0.2500 0.1156
6 Th 0.8815 0.2500 0.8815
7 La 0.6383 0.7500 0.6375
8 La 0.3617 0.2500 0.3624

## Properties
As for the energy above the most stable polymorph in this dataset: 0 meV per atom. As for the space group: No. 11. The calculation puts the energy of formation from the pure elements at 0.0267 eV per atom.



[3]
La12Sm7Th | PBE | relaxed

Cell lengths 6.4356, 11.6036, 11.6036 Å; angles 116.66, 100.65, 100.65 degrees
Fractional coordinates of all 20 atoms:
1 Sm 0.8809 0.0001 0.2531
2 La 0.9061 0.4063 0.8126
3 La 0.9296 0.3571 0.3570
4 La 0.4274 0.3570 0.9999
5 La 0.0935 0.1874 0.5937
6 La 0.4275 0.0001 0.3571
7 La 0.5725 0.9999 0.6429
8 Sm 0.8808 0.2530 0.9999
9 Sm 0.6278 0.7469 0.7470
10 La 0.4998 0.4063 0.5937
11 Sm 0.1192 0.7470 0.0001
12 La 0.5002 0.5937 0.4063
13 La 0.0939 0.5937 0.1874
14 Sm 0.5000 0.0000 0.0000
15 La 0.5726 0.6430 0.0001
16 Th 0.0000 0.0000 0.0000
17 Sm 0.1191 0.9999 0.7469
18 La 0.9065 0.8126 0.4063
19 Sm 0.3722 0.2531 0.2530
20 La 0.0704 0.6429 0.6430

## Properties
As for the energy above the most stable polymorph in this dataset: 130 meV per atom. As for the space group: No. 166. The calculation puts the energy of formation from the pure elements at 0.2091 eV per atom.